[1]
A relaxed structure of PmPrBr6, computed with PBE.

Polymorph energy (0 for the lowest one): 0.0000 eV/atom
Raw formation energy: -1841.8 meV per atom
Density: 3.8 g cm⁻³
DOS at the Fermi energy: 0.000 states/eV per atom

a = 7.2197 Å, b = 13.2938 Å, c = 7.2375 Å
α = 90.00°, β = 106.48°, γ = 90.00°
Space group C2/m (No. 12)
Unique sites:
1 Pm 0.0000 0.0000 0.0000 (multiplicity 2)
2 Pr 0.0000 0.5000 0.5000 (multiplicity 2)
3 Br 0.2464 0.1474 0.2468 (multiplicity 8)
4 Br 0.2486 0.0000 0.7521 (multiplicity 4)

[2]
A relaxed structure of Ac3LaSn2, computed with PBE.

Polymorph energy (0 for the lowest one): 0.0000 eV/atom
Density: 7.8 g cm⁻³
DOS at the Fermi energy: 1.208 states/eV per atom
Energy relative to the elements: -53.7 kJ/mol of atoms

a = 4.9300 Å, b = 5.0156 Å, c = 18.2848 Å
α = 90.00°, β = 90.00°, γ = 90.00°
Space group Immm (No. 71)
Unique sites:
1 Ac 0.0000 0.0000 0.0000 (multiplicity 2)
2 Ac 0.0000 0.5000 0.3206 (multiplicity 4)
3 La 0.0000 0.0000 0.5000 (multiplicity 2)
4 Sn 0.0000 0.5000 0.1338 (multiplicity 4)

[3]
A relaxed structure of CsZnGePSeBr, computed with PBE.

Polymorph energy (0 for the lowest one): 0.0805 eV/atom
Raw formation energy: -527.1 meV per atom
Density: 3.9 g cm⁻³
DOS at the Fermi energy: 0.383 states/eV per atom

a = 5.4367 Å, b = 4.1198 Å, c = 8.9637 Å
α = 90.00°, β = 104.17°, γ = 90.00°
Space group Pm (No. 6)
Unique sites:
1 Cs 0.0000 0.0000 0.0000 (multiplicity 1)
2 Zn 0.1394 0.5000 0.5957 (multiplicity 1)
3 Ge 0.6247 0.0000 0.3561 (multiplicity 1)
4 P 0.9287 0.0000 0.5820 (multiplicity 1)
5 Se 0.3368 0.5000 0.3656 (multiplicity 1)
6 Br 0.4483 0.5000 0.8608 (multiplicity 1)